1.
Li12ZnPd7: relaxed, PBE.

Properties
The energy of formation from the pure elements comes out at -277 meV/atom. Its crystal system is trigonal.

Cell lengths 6.630, 6.630, 6.630 Å; angles 93.84, 93.84, 93.84 degrees
Sites, in units of the cell vectors:
Li  0.617  0.148  0.488
Li  0.252  0.120  0.743
Li  0.880  0.257  0.748
Pd  0.500  0.500  0.500
Pd  0.849  0.618  0.938
Li  0.743  0.252  0.120
Li  0.120  0.743  0.252
Pd  0.062  0.151  0.382
Pd  0.382  0.062  0.151
Li  0.852  0.512  0.383
Zn  0.000  0.000  0.000
Li  0.488  0.617  0.148
Li  0.383  0.852  0.512
Li  0.257  0.748  0.880
Li  0.148  0.488  0.617
Li  0.748  0.880  0.257
Pd  0.618  0.938  0.849
Pd  0.938  0.849  0.618
Li  0.512  0.383  0.852
Pd  0.151  0.382  0.062

***

2.
LaPrNd2Sm: relaxed, PBE.

Properties
The energy of formation from the pure elements comes out at 242 meV/atom. Its crystal system is monoclinic.

Cell lengths 6.838, 8.416, 6.357 Å; angles 92.84, 90.00, 90.00 degrees
Sites, in units of the cell vectors:
La  0.000  0.000  0.500
Nd  0.312  0.304  0.232
Pr  0.838  0.500  0.250
Sm  0.577  0.000  0.250
Sm  0.423  0.000  0.750
Nd  0.688  0.696  0.768
Pr  0.162  0.500  0.750
Nd  0.688  0.304  0.732
La  0.000  0.000  0.000
Nd  0.312  0.696  0.268

***

3.
CaInIr2: relaxed, PBE.

Properties
The energy of formation from the pure elements comes out at 340 meV/atom. Its crystal system is tetragonal.

Cell lengths 7.616, 7.616, 6.097 Å; angles 51.35, 51.35, 90.00 degrees
Sites, in units of the cell vectors:
Ca  0.250  0.750  0.500
Ir  0.875  0.906  0.750
Ir  0.094  0.625  0.250
Ir  0.375  0.344  0.750
Ir  0.656  0.125  0.250
In  0.000  0.000  0.000
In  0.750  0.250  0.500
Ca  0.500  0.500  0.000

***

4.
AlCu2Ni: relaxed, PBE.

Properties
The energy of formation from the pure elements comes out at -238 meV/atom. Its crystal system is monoclinic.

Cell lengths 4.604, 4.604, 4.225 Å; angles 74.86, 74.86, 34.33 degrees
Sites, in units of the cell vectors:
Cu  0.002  0.002  0.996
Cu  0.498  0.498  0.504
Al  0.250  0.250  0.250
Ni  0.750  0.750  0.750